1.
A geometry-optimized Nd5Ho12Th2 structure. Source: Alexandria, functional PBE.

POSCAR file:
```
Nd5Ho12Th2
1.0
9.269 0.000 0.000
-4.635 8.174 3.392
0.000 0.674 8.675
Ho Nd Th
12 5 2
Direct
0.172 0.766 0.445
0.578 0.157 0.260
0.031 0.705 0.919
0.406 0.234 0.555
0.674 0.705 0.919
0.955 0.910 0.185
0.045 0.090 0.815
0.969 0.295 0.081
0.828 0.234 0.555
0.326 0.295 0.081
0.594 0.766 0.445
0.422 0.843 0.740
0.722 0.443 0.767
0.237 0.474 0.691
0.000 0.000 0.500
0.278 0.557 0.233
0.763 0.526 0.309
0.333 0.000 0.000
0.667 0.000 0.000
```

Output
For the relative energy among the computed polymorphs, the calculation gives 97 meV/atom. The calculation puts the formation energy at 0.24 eV/atom.



2.
A geometry-optimized NdHo2Th structure. Source: Alexandria, functional PBE.

POSCAR file:
```
NdHo2Th
1.0
3.587 0.000 0.000
0.000 3.587 0.000
0.000 0.000 10.066
Ho Th Nd
2 1 1
Direct
0.000 0.000 0.759
0.000 0.000 0.241
0.500 0.500 0.000
0.500 0.500 0.500
```

Output
For the relative energy among the computed polymorphs, the calculation gives 2 meV/atom. The calculation puts the formation energy at 0.02 eV/atom.



3.
A geometry-optimized NdHo4Th2 structure. Source: Alexandria, functional PBE.

POSCAR file:
```
NdHo4Th2
1.0
5.600 0.000 0.000
0.000 5.600 0.000
-2.800 -2.800 8.288
Ho Nd Th
4 1 2
Direct
0.500 0.000 0.000
0.180 0.180 0.360
0.820 0.820 0.640
0.000 0.500 0.000
0.000 0.000 0.000
0.613 0.613 0.226
0.387 0.387 0.774
```

Output
For the relative energy among the computed polymorphs, the calculation gives 711 meV/atom. The calculation puts the formation energy at 0.81 eV/atom.



4.
A geometry-optimized Nd5HoTh2 structure. Source: Alexandria, functional PBE.

POSCAR file:
```
Nd5HoTh2
1.0
3.492 0.000 -0.694
-0.964 10.313 -4.851
-0.084 -2.253 8.710
Ho Nd Th
1 5 2
Direct
0.000 0.000 0.000
0.630 0.391 0.260
0.370 0.609 0.740
0.000 0.500 0.000
0.370 0.131 0.740
0.630 0.869 0.260
0.258 0.758 0.517
0.742 0.242 0.483
```

Output
The calculation puts the formation energy at 0.11 eV/atom.